Record 1
! KLiTbTe3 PBE relaxed; values from VASP
! SG ... Cmcm (63)
! Uncorrected energy ... -0.2878 Ry/atom
&SYSTEM
  ibrav = 0, nat = 12, ntyp = 4
/
ATOMIC_SPECIES
K 39.10 K.upf
Li 6.94 Li.upf
Tb 158.93 Tb.upf
Te 127.60 Te.upf
ATOMIC_POSITIONS crystal
K 0.2519 0.7481 0.2500
K 0.7481 0.2519 0.7500
Li 0.5350 0.4650 0.2500
Li 0.4650 0.5350 0.7500
Tb 0.0000 0.0000 0.0000
Tb 0.0000 0.0000 0.5000
Te 0.6333 0.3667 0.0531
Te 0.9304 0.0696 0.2500
Te 0.6333 0.3667 0.4469
Te 0.3667 0.6333 0.5531
Te 0.0696 0.9304 0.7500
Te 0.3667 0.6333 0.9469
CELL_PARAMETERS angstrom
2.2056 -7.7651 0.0000
2.2056 7.7651 0.0000
0.0000 0.0000 11.6048

***

Record 2
! GdNpTc PBE relaxed; values from VASP
! SG ... F-43m (216)
! Uncorrected energy ... -0.5970 Ry/atom
&SYSTEM
  ibrav = 0, nat = 3, ntyp = 3
/
ATOMIC_SPECIES
Gd 157.25 Gd.upf
Np 237.00 Np.upf
Tc 98.00 Tc.upf
ATOMIC_POSITIONS crystal
Gd 0.0000 0.0000 0.0000
Np 0.2500 0.2500 0.2500
Tc 0.7500 0.7500 0.7500
CELL_PARAMETERS angstrom
-2.2413 -3.8543 -0.9778
-4.2257 -0.6512 1.5986
-3.5598 0.0916 -2.8557

***

Record 3
! Lu2Co3Si5 PBE relaxed; values from VASP
! SG ... C2/c (15)
! Energy relative to the lowest polymorph listed for this composition ... 0.000 eV per atom
&SYSTEM
  ibrav = 0, nat = 20, ntyp = 3
/
ATOMIC_SPECIES
Co 58.93 Co.upf
Lu 174.97 Lu.upf
Si 28.09 Si.upf
ATOMIC_POSITIONS crystal
Co 0.2500 0.9971 0.0029
Co 0.3745 0.5414 0.2625
Co 0.1255 0.7375 0.4586
Co 0.8745 0.2625 0.5414
Co 0.6255 0.4586 0.7375
Co 0.7500 0.0029 0.9971
Lu 0.7651 0.4056 0.1296
Lu 0.2651 0.1296 0.4056
Lu 0.7349 0.8704 0.5944
Lu 0.2349 0.5944 0.8704
Si 0.1679 0.2642 0.0685
Si 0.2500 0.7882 0.2118
Si 0.7500 0.7736 0.2264
Si 0.6679 0.0685 0.2642
Si 0.7500 0.5118 0.4882
Si 0.2500 0.4882 0.5118
Si 0.3321 0.9315 0.7358
Si 0.2500 0.2264 0.7736
Si 0.7500 0.2118 0.7882
Si 0.8321 0.7358 0.9315
CELL_PARAMETERS angstrom
1.0369 -5.3156 -0.0227
-0.8990 2.3629 7.3315
-7.4577 1.1226 -1.8070

***

Record 4
! BeSiOs2 PBE relaxed; values from VASP
! SG ... Fm-3m (225)
! Uncorrected energy ... -0.6029 Ry/atom
&SYSTEM
  ibrav = 0, nat = 24, ntyp = 3
/
ATOMIC_SPECIES
Be 9.01 Be.upf
Os 190.23 Os.upf
Si 28.09 Si.upf
ATOMIC_POSITIONS crystal
Be 0.0000 0.0000 0.0000
Be 0.4989 0.5000 0.1667
Be 0.9989 0.0000 0.3333
Be 0.5000 0.5000 0.5000
Be 0.0011 0.0000 0.6667
Be 0.5011 0.5000 0.8333
Os 0.5000 0.2501 0.0000
Os 0.5000 0.7499 0.0000
Os 0.9991 0.2500 0.1667
Os 0.9991 0.7500 0.1667
Os 0.4991 0.2500 0.3333
Os 0.4991 0.7500 0.3333
Os 0.0000 0.2499 0.5000
Os 0.0000 0.7501 0.5000
Os 0.5009 0.2500 0.6667
Os 0.5009 0.7500 0.6667
Os 0.0009 0.2500 0.8333
Os 0.0009 0.7500 0.8333
Si 0.0000 0.5000 0.0000
Si 0.4991 0.0000 0.1667
Si 0.9991 0.5000 0.3333
Si 0.5000 0.0000 0.5000
Si 0.0009 0.5000 0.6667
Si 0.5009 0.0000 0.8333
CELL_PARAMETERS angstrom
4.0743 0.0000 0.0000
0.0000 5.7668 0.0000
0.0000 0.0000 12.2271

***

Record 5
! GdInPO PBE relaxed; values from VASP
! SG ... Pmc2_1 (26)
! Energy relative to the lowest polymorph listed for this composition ... 0.099 eV per atom
&SYSTEM
  ibrav = 0, nat = 8, ntyp = 4
/
ATOMIC_SPECIES
Gd 157.25 Gd.upf
In 114.82 In.upf
O 16.00 O.upf
P 30.97 P.upf
ATOMIC_POSITIONS crystal
Gd 0.5000 0.2959 0.0637
Gd 0.5000 0.7041 0.5637
In 0.0000 0.2536 0.4318
In 0.0000 0.7464 0.9318
O 0.5000 0.3324 0.4129
O 0.5000 0.6676 0.9129
P 0.0000 0.7617 0.3457
P 0.0000 0.2383 0.8457
CELL_PARAMETERS angstrom
-4.9826 -0.0093 -0.7121
-0.4261 -4.2872 3.0367
-0.7326 3.6697 5.0781

***

Record 6
! MgInFeAg PBE relaxed; values from VASP
! SG ... F-43m (216)
! Energy relative to the lowest polymorph listed for this composition ... 0.000 eV per atom
&SYSTEM
  ibrav = 0, nat = 4, ntyp = 4
/
ATOMIC_SPECIES
Ag 107.87 Ag.upf
Fe 55.84 Fe.upf
In 114.82 In.upf
Mg 24.30 Mg.upf
ATOMIC_POSITIONS crystal
Ag 0.2500 0.2500 0.2500
Fe 0.7500 0.7500 0.7500
In 0.0000 0.0000 0.0000
Mg 0.5000 0.5000 0.5000
CELL_PARAMETERS angstrom
0.0000 3.2817 3.2817
3.2817 0.0000 3.2817
3.2817 3.2817 0.0000

***

Record 7
! PmSmTl PBE relaxed; values from VASP
! SG ... F-43m (216)
! Energy relative to the lowest polymorph listed for this composition ... 0.000 eV per atom
&SYSTEM
  ibrav = 0, nat = 3, ntyp = 3
/
ATOMIC_SPECIES
Pm 145.00 Pm.upf
Sm 150.36 Sm.upf
Tl 204.38 Tl.upf
ATOMIC_POSITIONS crystal
Pm 0.2500 0.2500 0.2500
Sm 0.7500 0.7500 0.7500
Tl 0.0000 0.0000 0.0000
CELL_PARAMETERS angstrom
1.7092 -4.3074 -2.5076
0.1614 -4.6251 2.5190
-3.3932 -3.8203 -1.2863

***

Record 8
! KHoPt PBE relaxed; values from VASP
! SG ... F-43m (216)
! Energy relative to the lowest polymorph listed for this composition ... 0.000 eV per atom
&SYSTEM
  ibrav = 0, nat = 3, ntyp = 3
/
ATOMIC_SPECIES
Ho 164.93 Ho.upf
K 39.10 K.upf
Pt 195.08 Pt.upf
ATOMIC_POSITIONS crystal
Ho 0.2500 0.2500 0.2500
K 0.7500 0.7500 0.7500
Pt 0.0000 0.0000 0.0000
CELL_PARAMETERS angstrom
0.0000 3.5198 3.5198
3.5198 0.0000 3.5198
3.5198 3.5198 0.0000